Here is crystalline BaSr3Ca3 at its relaxed geometry from the Alexandria database. Energies are from PBE.

Formation energy = 14 kJ/mol of formula units
Crystal system = trigonal

Lattice parameters (Å, degrees): 10.949 10.949 9.261 53.76 53.76 60.00
Atoms (fractional coordinates):
Sr  0.117  0.957  0.248
Ca  0.813  0.395  0.259
Sr  0.678  0.117  0.248
Ca  0.532  0.813  0.259
Ca  0.395  0.532  0.259
Ba  0.255  0.255  0.234
Ba  0.745  0.745  0.766
Ca  0.468  0.187  0.741
Sr  0.043  0.322  0.752
Sr  0.322  0.883  0.752
Ca  0.605  0.468  0.741
Sr  0.957  0.678  0.248
Ca  0.187  0.605  0.741
Sr  0.883  0.043  0.752



Here is crystalline SrPmSb2 at its relaxed geometry from the Alexandria database. Energies are from PBE.

Uncorrected formation energy = -967.0 meV per atom
Crystal system = trigonal

Lattice parameters (Å, degrees): 4.508 4.508 8.346 74.33 74.33 60.00
Atoms (fractional coordinates):
Sb  0.256  0.256  0.232
Pm  0.000  0.000  0.000
Sr  0.500  0.500  0.500
Sb  0.744  0.744  0.768



Here is crystalline PuSnPdAu at its relaxed geometry from the Alexandria database. Energies are from PBE.

Formation energy = -170 kJ/mol of formula units
Crystal system = cubic

Lattice parameters (Å, degrees): 4.937 4.937 4.937 60.00 60.00 60.00
Last column: magnetic moment on the atom in μB.
Atoms (fractional coordinates):
Sn  0.250  0.250  0.250  0.00
Pd  0.000  0.000  0.000  -0.03
Au  0.500  0.500  0.500  0.00
Pu  0.750  0.750  0.750  5.14



Here is crystalline LiCuTeN2 at its relaxed geometry from the Alexandria database. Energies are from PBE.

Uncorrected formation energy = 1653.0 meV per atom
Crystal system = tetragonal

Lattice parameters (Å, degrees): 3.787 3.787 5.244 90.00 90.00 90.00
Last column: magnetic moment on the atom in μB.
Atoms (fractional coordinates):
Li  0.000  0.000  0.000  0.00
Te  0.000  0.000  0.500  0.01
N  0.000  0.500  0.000  0.89
N  0.500  0.000  0.000  0.89
Cu  0.500  0.500  0.500  0.05



Here is crystalline RbScPb at its relaxed geometry from the Alexandria database. Energies are from PBE.

Formation energy = -69 kJ/mol of formula units
Crystal system = tetragonal

Lattice parameters (Å, degrees): 5.230 5.230 8.390 90.00 90.00 90.00
Atoms (fractional coordinates):
Rb  0.000  0.500  0.138
Rb  0.500  0.000  0.862
Sc  0.000  0.000  0.500
Pb  0.500  0.000  0.328
Sc  0.500  0.500  0.500
Pb  0.000  0.500  0.672



Here is crystalline Ac2CeMg at its relaxed geometry from the Alexandria database. Energies are from PBE.

Formation energy = 63 kJ/mol of formula units
Crystal system = cubic

Lattice parameters (Å, degrees): 5.902 5.902 5.902 60.00 60.00 60.00
Last column: magnetic moment on the atom in μB.
Atoms (fractional coordinates):
Ac  0.750  0.750  0.750  0.06
Mg  0.500  0.500  0.500  0.00
Ce  0.000  0.000  0.000  0.95
Ac  0.250  0.250  0.250  0.06



Number 1: density of states at the Fermi level 15.503 states/eV per cell. Number 2: density of states at the Fermi level 2.806 states/eV per cell. Number 3: density of states at the Fermi level 14.034 states/eV per cell. Number 4: density of states at the Fermi level 2.663 states/eV per cell. Number 5: density of states at the Fermi level 0.000 states/eV per cell. Number 6: density of states at the Fermi level 10.082 states/eV per cell.